Entry 1:
# Sc2RhSe

A relaxed Sc2RhSe crystal (PBE, Alexandria).

Cell lengths 3.3376, 3.2984, 7.4586 Å; angles 63.55, 90.00, 90.00 degrees
Closest atoms and distances in Å follow each position.
Sites, in units of the cell vectors:
Rh 0.5000 0.7500 0.7500  8 Sc 2.83
Sc 0.0000 0.0122 0.9873  4 Rh 2.83, 4 Se 2.93
Sc 0.0000 0.4878 0.5127  4 Rh 2.83, 4 Se 2.93
Se 0.5000 0.2500 0.2500  8 Sc 2.93

Its formation energy from raw total energies is -411.3 kJ/mol of formula units. As for the relative energy among the computed polymorphs: 0.209 eV per formula unit. Its symmetry is P2/m, No. 10. As for the total magnetic moment: 0.00 μB/f.u. For the density, the calculation gives 6.14 g cm⁻³.

---

Entry 2:
# BaLuCd4

A relaxed BaLuCd4 crystal (PBE, Alexandria).

Cell lengths 6.1160, 6.1160, 6.1160 Å; angles 60.00, 60.00, 60.00 degrees
Closest atoms and distances in Å follow each position.
Sites, in units of the cell vectors:
Lu 0.0000 0.0000 0.0000  12 Cd 3.58, 4 Ba 3.75
Ba 0.2500 0.2500 0.2500  12 Cd 3.59, 4 Lu 3.75
Cd 0.6256 0.6256 0.1233  6 Cd 3.04-3.07
Cd 0.6256 0.1233 0.6256  6 Cd 3.04-3.07
Cd 0.6256 0.6256 0.6256  6 Cd 3.04-3.07
Cd 0.1233 0.6256 0.6256  6 Cd 3.04-3.07

Its symmetry is F-43m, No. 216. As for the total magnetic moment: 0.00 μB/f.u. For the formation energy, the calculation gives -0.166 eV per atom. For the density, the calculation gives 7.82 g cm⁻³.

---

What is the total magnetic moment in the first record?
0.00 μB/f.u.

---

Number 1 is which compound?
Sc2RhSe

---

Which formula does entry 2 have?
BaLuCd4